Tb7Er3Sc GGA-PBE optimized geometry; spin magnetization = 0.033 μB/atom; polymorph energy (0 for the lowest one) = 112 meV per atom; calculated formation energy = 0.26 eV/atom
1.0
-4.186 0.271 -3.849
7.332 -1.159 -3.844
1.093 -7.913 2.466
Sc Er Tb
1 3 7
direct
0.500 0.500 0.500
0.000 0.204 0.796
0.500 0.000 0.000
0.000 0.796 0.204
0.309 0.019 0.599
0.691 0.981 0.401
0.215 0.214 0.214
0.785 0.786 0.786
0.309 0.599 0.019
0.691 0.401 0.981
0.000 0.500 0.500